(1)
Below is a relaxed structure of GaBiH2, with properties calculated at the PBE-GGA level.

Cell: 5.7032 5.7032 5.7032 Å, 121.19 121.19 87.96°
Fractional coordinates of all 8 atoms:
Ga (0.3750, 0.6250, 0.7500)
Ga (0.6250, 0.3750, 0.2500)
Bi (0.1250, 0.8750, 0.2500)
Bi (0.8750, 0.1250, 0.7500)
H (0.0000, 0.5000, 0.5000)
H (0.5000, 0.0000, 0.0000)
H (0.5000, 0.5000, 0.0000)
H (0.5000, 0.5000, 0.5000)

Output
For the polymorph energy (0 for the lowest one), the calculation gives 0.72 eV/f.u. As for the space group: I4_1/amd.



(2)
Below is a relaxed structure of BaCrOs, with properties calculated at the PBE-GGA level.

Cell: 4.8621 4.8621 4.8621 Å, 60.00 60.00 60.00°
Fractional coordinates of all 3 atoms:
Ba (0.0000, 0.0000, 0.0000)
Cr (0.7500, 0.7500, 0.7500)
Os (0.2500, 0.2500, 0.2500)

Output
For the polymorph energy (0 for the lowest one), the calculation gives 4.66 eV/f.u. The formation energy comes out at 2.18 eV/atom. As for the space group: F-43m.



(3)
Below is a relaxed structure of NdDy2Tl2, with properties calculated at the PBE-GGA level.

Cell: 5.3295 5.3295 6.5325 Å, 90.00 90.00 120.00°
Fractional coordinates of all 5 atoms:
Nd (0.0000, 0.0000, 0.0000)
Dy (0.3333, 0.6667, 0.6673)
Dy (0.6667, 0.3333, 0.3327)
Tl (0.3333, 0.6667, 0.1921)
Tl (0.6667, 0.3333, 0.8079)

Output
For the polymorph energy (0 for the lowest one), the calculation gives 0.74 eV/f.u. The formation energy comes out at -0.14 eV/atom. As for the space group: P-3m1.



(4)
Below is a relaxed structure of NdP3Ir3, with properties calculated at the PBE-GGA level.

Cell: 6.4663 6.4663 6.4663 Å, 90.00 90.00 90.00°
Fractional coordinates of all 14 atoms:
Nd (0.0000, 0.0000, 0.0000)
Nd (0.5000, 0.5000, 0.5000)
P (0.0000, 0.2500, 0.5000)
P (0.0000, 0.7500, 0.5000)
P (0.2500, 0.5000, 0.0000)
P (0.5000, 0.0000, 0.2500)
P (0.5000, 0.0000, 0.7500)
P (0.7500, 0.5000, 0.0000)
Ir (0.0000, 0.5000, 0.2500)
Ir (0.0000, 0.5000, 0.7500)
Ir (0.2500, 0.0000, 0.5000)
Ir (0.5000, 0.2500, 0.0000)
Ir (0.5000, 0.7500, 0.0000)
Ir (0.7500, 0.0000, 0.5000)

Output
The formation energy comes out at -0.60 eV/atom. As for the space group: Pm-3n.



(5)
Below is a relaxed structure of Nd12Y2Tl, with properties calculated at the PBE-GGA level.

Cell: 6.7452 6.7452 23.8626 Å, 90.00 90.00 90.00°
Fractional coordinates of all 30 atoms:
Nd (0.0045, 0.5045, 0.0931)
Nd (0.0045, 0.9955, 0.9069)
Nd (0.0837, 0.5837, 0.5657)
Nd (0.0837, 0.9163, 0.4343)
Nd (0.2500, 0.2500, 0.2001)
Nd (0.2500, 0.2500, 0.3282)
Nd (0.2500, 0.2500, 0.6718)
Nd (0.2500, 0.2500, 0.7999)
Nd (0.4163, 0.5837, 0.4343)
Nd (0.4163, 0.9163, 0.5657)
Nd (0.4955, 0.5045, 0.9069)
Nd (0.4955, 0.9955, 0.0931)
Nd (0.5045, 0.0045, 0.9069)
Nd (0.5045, 0.4955, 0.0931)
Nd (0.5837, 0.0837, 0.4343)
Nd (0.5837, 0.4163, 0.5657)
Nd (0.7500, 0.7500, 0.2001)
Nd (0.7500, 0.7500, 0.3282)
Nd (0.7500, 0.7500, 0.6718)
Nd (0.7500, 0.7500, 0.7999)
Nd (0.9163, 0.0837, 0.5657)
Nd (0.9163, 0.4163, 0.4343)
Nd (0.9955, 0.0045, 0.0931)
Nd (0.9955, 0.4955, 0.9069)
Y (0.2500, 0.7500, 0.2509)
Y (0.2500, 0.7500, 0.7491)
Y (0.7500, 0.2500, 0.2509)
Y (0.7500, 0.2500, 0.7491)
Tl (0.2500, 0.7500, 0.0000)
Tl (0.7500, 0.2500, 0.0000)

Output
The formation energy comes out at 0.23 eV/atom. As for the space group: P4/nbm.



(6)
Below is a relaxed structure of SmEuTh2, with properties calculated at the PBE-GGA level.

Cell: 5.0614 5.0614 5.2261 Å, 90.00 90.00 90.00°
Fractional coordinates of all 4 atoms:
Sm (0.0000, 0.0000, 0.0000)
Eu (0.5000, 0.5000, 0.0000)
Th (0.0000, 0.5000, 0.5000)
Th (0.5000, 0.0000, 0.5000)

Output
For the polymorph energy (0 for the lowest one), the calculation gives 0.03 eV/f.u. The formation energy comes out at 0.16 eV/atom. As for the space group: P4/mmm.



no.,DOS at the Fermi energy (states/eV/f.u.)
1,1.42
2,6.97
3,7.01
4,3.72
5,18.93
6,5.58